1.
{"formula": "Tb2Ga3Tc", "functional": "GGA-PBE", "state": "relaxed", "ef_ev_per_atom": -0.28, "polymorph_energy_mev_per_atom": 238, "magmom_total_mub_per_atom": 0.000, "density_g_cm3": 8.16, "spacegroup": "Immm, No. 71", "cell": [[4.637, 0.000, 0.000], [0.000, 5.404, 0.000], [-2.319, -2.702, 5.074]], "species": ["Tb", "Tc", "Tb", "Ga", "Ga", "Ga"], "frac_coords": [[0.300, 0.800, 0.600], [0.000, 0.500, 0.000], [0.700, 0.200, 0.400], [0.622, 0.622, 0.244], [0.000, 0.000, 0.000], [0.378, 0.378, 0.756]]}

***

2.
{"formula": "PuBiBr6", "functional": "GGA-PBE", "state": "relaxed", "polymorph_energy_mev_per_atom": 15, "magmom_total_mub_per_atom": 0.625, "raw_formation_energy_ev_per_atom": -1.07, "density_g_cm3": 5.30, "spacegroup": "R-3, No. 148", "cell": [[7.136, 0.009, 0.010], [3.560, 6.184, 0.014], [3.558, 2.056, 6.627]], "species": ["Br", "Pu", "Br", "Bi", "Br", "Br", "Br", "Br"], "frac_coords": [[0.414, 0.753, 0.749], [0.000, 0.000, 0.000], [0.084, 0.414, 0.749], [0.500, 0.500, 0.500], [0.753, 0.084, 0.749], [0.916, 0.586, 0.251], [0.586, 0.247, 0.251], [0.247, 0.916, 0.251]]}

***

no.,density of states at the Fermi level (states/eV per cell)
1,2.2
2,10.7